Entry 1:
MoSeO2F: single point on PBEsol structure, meta-GGA SCAN.

As for the space group: P4/mmm (123). The calculated total energy is -14.178 eV/atom. For the formation energy without anion corrections, the calculation gives 15 meV per atom.

Structure (POSCAR):
```
MoSeO2F
1.0
3.938 0.000 0.000
0.000 3.938 0.000
0.000 0.000 4.324
Mo O Se F
1 2 1 1
direct
0.500 0.500 0.500 Mo
0.000 0.500 0.000 O
0.500 0.000 0.000 O
0.000 0.000 0.000 Se
0.000 0.000 0.500 F
```

=====

Entry 2:
SiMoOF2: single point on PBEsol structure, meta-GGA SCAN.

As for the space group: P4/mmm (123). The calculated total energy is -12.542 eV/atom. For the formation energy without anion corrections, the calculation gives -899 meV per atom.

Structure (POSCAR):
```
SiMoOF2
1.0
3.783 0.000 0.000
0.000 4.191 0.000
0.000 0.000 4.191
Mo Si O F
1 1 1 2
direct
0.000 0.000 0.000 Mo
0.500 0.500 0.500 Si
0.500 0.000 0.000 O
0.000 0.000 0.500 F
0.000 0.500 0.000 F
```

=====

Entry 3:
TbMoO4F: single point on PBEsol structure, meta-GGA SCAN.

As for the space group: P2_1/c (14). The calculated total energy is -18.811 eV/atom. For the formation energy without anion corrections, the calculation gives -3081 meV per atom.

Structure (POSCAR):
```
TbMoO4F
1.0
5.198 0.028 0.000
-2.565 6.076 0.000
0.000 0.000 12.276
Tb Mo O F
4 4 16 4
direct
0.660 0.300 0.552 Tb
0.340 0.700 0.448 Tb
0.160 0.800 0.948 Tb
0.840 0.200 0.052 Tb
0.550 0.632 0.142 Mo
0.050 0.132 0.358 Mo
0.450 0.368 0.858 Mo
0.950 0.868 0.642 Mo
0.334 0.337 0.431 O
0.143 0.908 0.347 O
0.229 0.537 0.065 O
0.988 0.794 0.776 O
0.012 0.206 0.224 O
0.488 0.294 0.724 O
0.643 0.408 0.153 O
0.834 0.837 0.069 O
0.271 0.963 0.565 O
0.357 0.592 0.847 O
0.666 0.663 0.569 O
0.166 0.163 0.931 O
0.771 0.463 0.935 O
0.512 0.706 0.276 O
0.857 0.092 0.653 O
0.729 0.037 0.435 O
0.920 0.458 0.401 F
0.420 0.958 0.099 F
0.580 0.042 0.901 F
0.080 0.542 0.599 F
```